(w)
# KRbN2 (PBE-GGA, relaxed)
data_KRbN2
_cell_length_a 7.5160
_cell_length_b 7.5160
_cell_length_c 6.6026
_cell_angle_alpha 55.31
_cell_angle_beta 55.31
_cell_angle_gamma 90.00
_space_group_name_H-M_alt 'P 1'
_space_group_IT_number 1
loop_
_space_group_symop_operation_xyz
'x,y,z'
loop_
_atom_site_label
_atom_site_fract_x
_atom_site_fract_y
_atom_site_fract_z
Rb1 0.7500 0.2500 0.5000
Rb2 0.0000 0.0000 0.0000
N1 0.1385 0.6250 0.2500
N2 0.6115 0.1250 0.2500
N3 0.8750 0.8615 0.7500
N4 0.3750 0.3885 0.7500
K1 0.2500 0.7500 0.5000
K2 0.5000 0.5000 0.0000
# D(E_F) (states/eV per atom): 0.40

(x)
# KRbN2 (PBE-GGA, relaxed)
data_KRbN2
_cell_length_a 8.8981
_cell_length_b 8.8981
_cell_length_c 8.8981
_cell_angle_alpha 28.64
_cell_angle_beta 28.64
_cell_angle_gamma 28.64
_space_group_name_H-M_alt 'P 1'
_space_group_IT_number 1
loop_
_space_group_symop_operation_xyz
'x,y,z'
loop_
_atom_site_label
_atom_site_fract_x
_atom_site_fract_y
_atom_site_fract_z
N1 0.1025 0.1025 0.1025
N2 0.8975 0.8975 0.8975
Rb1 0.5000 0.5000 0.5000
K1 0.0000 0.0000 0.0000
# D(E_F) (states/eV per atom): 0.61

Which of them is the most stable, and which is the least stable? (w) and (x), in that order.

(w)
# K3RbN (PBE-GGA, relaxed)
data_K3RbN
_cell_length_a 7.4442
_cell_length_b 7.4442
_cell_length_c 7.4442
_cell_angle_alpha 90.00
_cell_angle_beta 90.00
_cell_angle_gamma 90.00
_space_group_name_H-M_alt 'P 1'
_space_group_IT_number 1
loop_
_space_group_symop_operation_xyz
'x,y,z'
loop_
_atom_site_label
_atom_site_fract_x
_atom_site_fract_y
_atom_site_fract_z
Rb1 0.0000 0.0000 0.0000
K1 0.5000 0.0000 0.0000
K2 0.0000 0.0000 0.5000
K3 0.0000 0.5000 0.0000
N1 0.5000 0.5000 0.5000
# D(E_F) (states/eV per atom): 3.49

(x)
# K3RbN (PBE-GGA, relaxed)
data_K3RbN
_cell_length_a 5.9878
_cell_length_b 5.9878
_cell_length_c 5.9878
_cell_angle_alpha 90.00
_cell_angle_beta 90.00
_cell_angle_gamma 90.00
_space_group_name_H-M_alt 'P 1'
_space_group_IT_number 1
loop_
_space_group_symop_operation_xyz
'x,y,z'
loop_
_atom_site_label
_atom_site_fract_x
_atom_site_fract_y
_atom_site_fract_z
K1 0.0000 0.5000 0.0000
K2 0.0000 0.0000 0.5000
K3 0.5000 0.0000 0.0000
N1 0.0000 0.0000 0.0000
Rb1 0.5000 0.5000 0.5000
# D(E_F) (states/eV per atom): 1.65

Which of them is the most stable, and which is the least stable? (x) and (w), in that order.

(w)
# KRbSN2 (PBE-GGA, relaxed)
data_KRbSN2
_cell_length_a 5.4485
_cell_length_b 5.4485
_cell_length_c 6.2183
_cell_angle_alpha 90.00
_cell_angle_beta 90.00
_cell_angle_gamma 90.00
_space_group_name_H-M_alt 'P 1'
_space_group_IT_number 1
loop_
_space_group_symop_operation_xyz
'x,y,z'
loop_
_atom_site_label
_atom_site_fract_x
_atom_site_fract_y
_atom_site_fract_z
K1 0.5000 0.5000 0.5000
S1 0.0000 0.0000 0.5000
Rb1 0.0000 0.0000 0.0000
N1 0.0000 0.5000 0.0000
N2 0.5000 0.0000 0.0000
# D(E_F) (states/eV per atom): 1.04

(x)
# KRbSN2 (PBE-GGA, relaxed)
data_KRbSN2
_cell_length_a 5.3114
_cell_length_b 5.3114
_cell_length_c 6.0237
_cell_angle_alpha 90.00
_cell_angle_beta 90.00
_cell_angle_gamma 90.00
_space_group_name_H-M_alt 'P 1'
_space_group_IT_number 1
loop_
_space_group_symop_operation_xyz
'x,y,z'
loop_
_atom_site_label
_atom_site_fract_x
_atom_site_fract_y
_atom_site_fract_z
N1 0.0000 0.5000 0.0000
N2 0.5000 0.0000 0.0000
S1 0.0000 0.0000 0.5000
Rb1 0.5000 0.5000 0.5000
K1 0.0000 0.0000 0.0000
# D(E_F) (states/eV per atom): 1.01

Which of them is the most stable, and which is the least stable? (x) and (w), in that order.